#A
LiIn2Hg2 | PBE | optimized geometry

Summary:
The calculation puts the density of states at the Fermi level at 0.28 states/eV per atom. For the volume, the calculation gives 25.82 Å³ per atom. Its magnetic moment is 0.0 Bohr magnetons per cell.

a = 8.1095 Å, b = 8.1095 Å, c = 3.9263 Å
α = 90.00°, β = 90.00°, γ = 90.00°
Sites, in units of the cell vectors:
1 Hg 0.6657 0.8343 0.5000
2 Li 0.5000 0.5000 0.0000
3 In 0.6394 0.1394 0.0000
4 Hg 0.1657 0.6657 0.5000
5 In 0.1394 0.3606 0.0000
6 In 0.8606 0.6394 0.0000
7 Li 0.0000 0.0000 0.0000
8 In 0.3606 0.8606 0.0000
9 Hg 0.3343 0.1657 0.5000
10 Hg 0.8343 0.3343 0.5000

#B
LiIn2Hg2 | PBE | optimized geometry

Summary:
The calculation puts the density of states at the Fermi level at 0.37 states/eV per atom. For the volume, the calculation gives 23.94 Å³ per atom. Its magnetic moment is 0.0 Bohr magnetons per cell.

a = 6.1031 Å, b = 6.0662 Å, c = 8.4982 Å
α = 114.20°, β = 90.00°, γ = 120.20°
Sites, in units of the cell vectors:
1 In 0.0766 0.8186 0.5431
2 Li 0.3490 0.0000 0.2500
3 In 0.2581 0.1814 0.9569
4 In 0.7419 0.8186 0.0431
5 Hg 0.5795 0.4189 0.6376
6 Hg 0.1606 0.5811 0.8624
7 In 0.9234 0.1814 0.4569
8 Hg 0.4205 0.5811 0.3624
9 Li 0.6510 0.0000 0.7500
10 Hg 0.8394 0.4189 0.1376

Most stable: #B (next structure +77 meV per atom)

#A
LiIn2Hg2 | PBE | optimized geometry

Summary:
The calculation puts the density of states at the Fermi level at 0.39 states/eV per atom. For the volume, the calculation gives 26.77 Å³ per atom. Its magnetic moment is 0.0 Bohr magnetons per cell.

a = 4.3499 Å, b = 4.3499 Å, c = 7.7148 Å
α = 73.63°, β = 73.63°, γ = 90.00°
Sites, in units of the cell vectors:
1 In 0.7500 0.2500 0.5000
2 Li 0.0000 0.0000 0.0000
3 Hg 0.4021 0.4021 0.1958
4 In 0.2500 0.7500 0.5000
5 Hg 0.5979 0.5979 0.8042

#B
LiIn2Hg2 | PBE | optimized geometry

Summary:
The calculation puts the density of states at the Fermi level at 0.39 states/eV per atom. For the volume, the calculation gives 24.98 Å³ per atom. Its magnetic moment is 0.0 Bohr magnetons per cell.

a = 6.2035 Å, b = 6.3558 Å, c = 7.7378 Å
α = 114.25°, β = 113.63°, γ = 90.00°
Sites, in units of the cell vectors:
1 Hg 0.6239 0.3679 0.2479
2 Li 0.7500 0.5000 0.0000
3 Hg 0.8761 0.1200 0.7521
4 Hg 0.1239 0.8800 0.2479
5 In 0.1404 0.3646 0.2807
6 Li 0.2500 0.5000 0.0000
7 In 0.8596 0.6354 0.7193
8 In 0.6404 0.9161 0.2807
9 Hg 0.3761 0.6321 0.7521
10 In 0.3596 0.0839 0.7193

#C
LiIn2Hg2 | PBE | optimized geometry

Summary:
The calculation puts the density of states at the Fermi level at 0.45 states/eV per atom. For the volume, the calculation gives 25.26 Å³ per atom. Its magnetic moment is 0.0 Bohr magnetons per cell.

a = 7.7392 Å, b = 7.7392 Å, c = 4.2175 Å
α = 90.00°, β = 90.00°, γ = 90.00°
Sites, in units of the cell vectors:
1 Hg 0.6473 0.1473 0.0000
2 Hg 0.3527 0.8527 0.0000
3 Li 0.0000 0.0000 0.0000
4 Hg 0.8527 0.6473 0.0000
5 Li 0.5000 0.5000 0.0000
6 Hg 0.1473 0.3527 0.0000
7 In 0.3397 0.1603 0.5000
8 In 0.6603 0.8397 0.5000
9 In 0.1603 0.6603 0.5000
10 In 0.8397 0.3397 0.5000

Most stable: #B (next structure +8 meV per atom)

#A
LiIn7Hg4 | PBE | optimized geometry

Summary:
The calculation puts the density of states at the Fermi level at 0.39 states/eV per atom. For the volume, the calculation gives 26.36 Å³ per atom. Its magnetic moment is 0.0 Bohr magnetons per cell.

a = 4.9491 Å, b = 4.9491 Å, c = 14.9148 Å
α = 90.00°, β = 90.00°, γ = 120.00°
Sites, in units of the cell vectors:
1 In 0.3333 0.6667 0.3666
2 In 0.6667 0.3333 0.6334
3 Hg 0.3333 0.6667 0.9079
4 Hg 0.6667 0.3333 0.0921
5 In 0.0000 0.0000 0.7376
6 In 0.3333 0.6667 0.1553
7 In 0.6667 0.3333 0.8447
8 Hg 0.6667 0.3333 0.4235
9 Li 0.0000 0.0000 0.5000
10 In 0.0000 0.0000 0.2624
11 Hg 0.3333 0.6667 0.5765
12 In 0.0000 0.0000 0.0000

#B
LiIn7Hg4 | PBE | optimized geometry

Summary:
The calculation puts the density of states at the Fermi level at 0.41 states/eV per atom. For the volume, the calculation gives 26.23 Å³ per atom. Its magnetic moment is 0.0 Bohr magnetons per cell.

a = 6.1466 Å, b = 6.2971 Å, c = 12.2942 Å
α = 82.28°, β = 43.06°, γ = 76.05°
Sites, in units of the cell vectors:
1 In 0.2786 0.4886 0.9788
2 Hg 0.2458 0.6781 0.3732
3 In 0.7214 0.5114 0.0212
4 Li 0.0000 0.0000 0.0000
5 In 0.5000 0.0000 0.0000
6 Hg 0.3731 0.1544 0.2853
7 Hg 0.7542 0.3219 0.6268
8 In 0.2406 0.7116 0.6551
9 In 0.8499 0.7856 0.2961
10 Hg 0.6269 0.8456 0.7147
11 In 0.1501 0.2144 0.7039
12 In 0.7594 0.2884 0.3449

Most stable: #A (next structure +19 meV per atom)

#A
LiIn2Hg3 | PBE | optimized geometry

Summary:
The calculation puts the density of states at the Fermi level at 0.52 states/eV per atom. For the volume, the calculation gives 25.99 Å³ per atom. Its magnetic moment is 0.0 Bohr magnetons per cell.

a = 3.4162 Å, b = 5.4560 Å, c = 8.9651 Å
α = 107.72°, β = 100.98°, γ = 90.00°
Sites, in units of the cell vectors:
1 Hg 0.8352 0.8352 0.6704
2 In 0.6550 0.6550 0.3099
3 Hg 0.1648 0.1648 0.3296
4 Li 0.0000 0.0000 0.0000
5 In 0.3450 0.3450 0.6901
6 Hg 0.0000 0.5000 0.0000

#B
LiIn2Hg3 | PBE | optimized geometry

Summary:
The calculation puts the density of states at the Fermi level at 0.38 states/eV per atom. For the volume, the calculation gives 24.13 Å³ per atom. Its magnetic moment is 0.0 Bohr magnetons per cell.

a = 8.7667 Å, b = 8.8553 Å, c = 6.9566 Å
α = 67.07°, β = 38.09°, γ = 60.33°
Sites, in units of the cell vectors:
1 Hg 0.8253 0.3486 0.7476
2 Hg 0.5003 0.0000 0.2293
3 Hg 0.1739 0.6514 0.7476
4 Hg 0.1747 0.6514 0.2524
5 In 0.3409 0.3182 0.5000
6 Hg 0.8261 0.3486 0.2524
7 Li 0.3321 0.3358 0.0000
8 In 0.0000 0.0000 0.0000
9 Hg 0.4997 0.0000 0.7707
10 In 0.6591 0.6818 0.5000
11 Li 0.6679 0.6642 0.0000
12 In 0.0000 0.0000 0.5000

Most stable: #B (next structure +80 meV per atom)

#A
Li8In3Hg2 | PBE | optimized geometry

Summary:
The calculation puts the density of states at the Fermi level at 0.28 states/eV per atom. For the volume, the calculation gives 19.59 Å³ per atom. Its magnetic moment is 0.0 Bohr magnetons per cell.

a = 5.3587 Å, b = 5.3587 Å, c = 10.6981 Å
α = 75.50°, β = 75.50°, γ = 60.00°
Sites, in units of the cell vectors:
1 In 0.1854 0.1854 0.4438
2 Hg 0.6313 0.6313 0.1062
3 Hg 0.3687 0.3687 0.8938
4 In 0.0000 0.0000 0.0000
5 Li 0.7290 0.7290 0.3186
6 Li 0.7202 0.7202 0.8394
7 Li 0.2710 0.2710 0.6814
8 In 0.8146 0.8146 0.5562
9 Li 0.7767 0.2710 0.6814
10 Li 0.2798 0.2798 0.1606
11 Li 0.2710 0.7767 0.6814
12 Li 0.2233 0.7290 0.3186
13 Li 0.7290 0.2233 0.3186

#B
Li8In3Hg2 | PBE | optimized geometry

Summary:
The calculation puts the density of states at the Fermi level at 0.24 states/eV per atom. For the volume, the calculation gives 19.72 Å³ per atom. Its magnetic moment is 0.0 Bohr magnetons per cell.

a = 4.6520 Å, b = 7.2477 Å, c = 8.1283 Å
α = 110.68°, β = 90.00°, γ = 90.00°
Sites, in units of the cell vectors:
1 In 0.0000 0.7171 0.0664
2 Li 0.4999 0.8739 0.3050
3 Li 0.4999 0.4392 0.1529
4 Li 0.5001 0.5608 0.8471
5 In 0.0000 0.2829 0.9336
6 Li 0.0000 0.1370 0.2374
7 Li 0.0000 0.8630 0.7626
8 Li 0.9999 0.5960 0.3640
9 Hg 0.4999 0.7168 0.5713
10 Li 0.5001 0.1261 0.6950
11 Hg 0.5001 0.2832 0.4287
12 In 0.5000 0.0000 0.0000
13 Li 0.0001 0.4040 0.6360

Most stable: #B (next structure +54 meV per atom)

#A
LiIn4Hg2 | PBE | optimized geometry

Summary:
The calculation puts the density of states at the Fermi level at 0.34 states/eV per atom. For the volume, the calculation gives 25.16 Å³ per atom. Its magnetic moment is 0.0 Bohr magnetons per cell.

a = 4.8247 Å, b = 4.9136 Å, c = 8.8754 Å
α = 103.99°, β = 90.00°, γ = 60.60°
Sites, in units of the cell vectors:
1 Hg 0.7066 0.5867 0.8829
2 In 0.1400 0.7199 0.5772
3 In 0.5800 0.8401 0.2606
4 Li 0.0000 0.0000 0.0000
5 In 0.4200 0.1599 0.7394
6 Hg 0.2934 0.4133 0.1171
7 In 0.8600 0.2801 0.4228

#B
LiIn4Hg2 | PBE | optimized geometry

Summary:
The calculation puts the density of states at the Fermi level at 0.33 states/eV per atom. For the volume, the calculation gives 25.32 Å³ per atom. Its magnetic moment is 0.0 Bohr magnetons per cell.

a = 8.1257 Å, b = 5.9640 Å, c = 8.6995 Å
α = 90.00°, β = 122.77°, γ = 90.00°
Sites, in units of the cell vectors:
1 Li 0.2568 0.7500 0.2685
2 Li 0.7432 0.2500 0.7315
3 Hg 0.3569 0.2500 0.4192
4 In 0.0221 0.7500 0.4439
5 Hg 0.6431 0.7500 0.5808
6 Hg 0.1581 0.2500 0.9784
7 In 0.5705 0.5014 0.2161
8 In 0.5705 0.9986 0.2161
9 In 0.9779 0.2500 0.5561
10 Hg 0.8419 0.7500 0.0216
11 In 0.4295 0.4986 0.7839
12 In 0.9056 0.2500 0.1515
13 In 0.4295 0.0014 0.7839
14 In 0.0944 0.7500 0.8485

Most stable: #A (next structure +25 meV per atom)

#A
NaLiInHg2 | PBE | optimized geometry

Summary:
The calculation puts the density of states at the Fermi level at 0.31 states/eV per atom. For the volume, the calculation gives 25.55 Å³ per atom. Its magnetic moment is 0.0 Bohr magnetons per cell.

a = 5.0568 Å, b = 5.0568 Å, c = 5.7691 Å
α = 90.00°, β = 90.00°, γ = 120.00°
Sites, in units of the cell vectors:
1 Hg 0.3333 0.6667 0.1662
2 Na 0.0000 0.0000 0.0044
3 Hg 0.6667 0.3333 0.8339
4 Li 0.3333 0.6667 0.6496
5 In 0.6667 0.3333 0.3458

#B
NaLiInHg2 | PBE | optimized geometry

Summary:
The calculation puts the density of states at the Fermi level at 0.47 states/eV per atom. For the volume, the calculation gives 26.39 Å³ per atom. Its magnetic moment is 0.0 Bohr magnetons per cell.

a = 5.0779 Å, b = 5.0779 Å, c = 5.1176 Å
α = 90.00°, β = 90.00°, γ = 90.00°
Sites, in units of the cell vectors:
1 Li 0.0000 0.0000 0.0000
2 Hg 0.5000 0.0000 0.0000
3 In 0.0000 0.0000 0.5000
4 Hg 0.0000 0.5000 0.0000
5 Na 0.5000 0.5000 0.5000

Most stable: #A (next structure +121 meV per atom)

#A
LiIn4Hg2O8 | PBE | optimized geometry

Summary:
The calculation puts the density of states at the Fermi level at 0.12 states/eV per atom. For the volume, the calculation gives 15.32 Å³ per atom. Its magnetic moment is 0.0 Bohr magnetons per cell.

a = 6.8758 Å, b = 6.8758 Å, c = 6.8758 Å
α = 60.00°, β = 60.00°, γ = 60.00°
Sites, in units of the cell vectors:
1 O 0.3937 0.3937 0.8190
2 In 0.1017 0.6328 0.6328
3 O 0.8584 0.8584 0.8584
4 O 0.3937 0.3937 0.3937
5 O 0.8584 0.8584 0.4248
6 In 0.6328 0.6328 0.1017
7 Hg 0.2500 0.2500 0.2500
8 O 0.4248 0.8584 0.8584
9 In 0.6328 0.1017 0.6328
10 Hg 0.0000 0.0000 0.0000
11 O 0.3937 0.8190 0.3937
12 Li 0.5000 0.5000 0.5000
13 O 0.8190 0.3937 0.3937
14 O 0.8584 0.4248 0.8584
15 In 0.6328 0.6328 0.6328

#B
LiIn4Hg2O8 | PBE | optimized geometry

Summary:
The calculation puts the density of states at the Fermi level at 0.09 states/eV per atom. For the volume, the calculation gives 14.38 Å³ per atom. Its magnetic moment is 0.0 Bohr magnetons per cell.

a = 6.8861 Å, b = 6.8861 Å, c = 6.8861 Å
α = 57.15°, β = 57.15°, γ = 57.15°
Sites, in units of the cell vectors:
1 In 0.5000 0.0000 0.0000
2 In 0.0000 0.5000 0.0000
3 O 0.2412 0.7882 0.2412
4 O 0.2118 0.7588 0.7588
5 O 0.2412 0.2412 0.7882
6 In 0.0000 0.0000 0.5000
7 O 0.7730 0.7730 0.7730
8 O 0.2270 0.2270 0.2270
9 Li 0.5000 0.5000 0.5000
10 Hg 0.6465 0.6465 0.6465
11 O 0.7882 0.2412 0.2412
12 O 0.7588 0.2118 0.7588
13 O 0.7588 0.7588 0.2118
14 Hg 0.3535 0.3535 0.3535
15 In 0.0000 0.0000 0.0000

Most stable: #B (next structure +169 meV per atom)